Record 1
LaPm4Tm10: relaxed, PBE-GGA.

E_tot ... -4.113 eV per atom

a = 8.740 Å, b = 8.740 Å, c = 8.740 Å
α = 111.81°, β = 111.81°, γ = 104.89°
Atoms (fractional coordinates):
La: 0.000 0.000 0.000
Pm: 0.216 0.549 0.765
Pm: 0.451 0.216 0.666
Pm: 0.549 0.784 0.334
Pm: 0.784 0.451 0.235
Tm: 0.046 0.707 0.092
Tm: 0.046 0.954 0.661
Tm: 0.250 0.750 0.500
Tm: 0.293 0.385 0.339
Tm: 0.385 0.046 0.092
Tm: 0.615 0.954 0.908
Tm: 0.707 0.615 0.661
Tm: 0.750 0.250 0.500
Tm: 0.954 0.046 0.339
Tm: 0.954 0.293 0.908



Record 2
Tc4Ir3: relaxed, PBE-GGA.

ΔE to the lowest computed polymorph ... 0.000 eV/atom
E_tot ... -9.558 eV per atom

a = 5.077 Å, b = 5.077 Å, c = 4.744 Å
α = 90.00°, β = 90.00°, γ = 120.00°
Atoms (fractional coordinates):
Tc: 0.000 0.000 0.238
Tc: 0.000 0.000 0.762
Tc: 0.333 0.667 0.000
Tc: 0.667 0.333 0.000
Ir: 0.000 0.500 0.500
Ir: 0.500 0.000 0.500
Ir: 0.500 0.500 0.500



Record 3
GdZnRh4: relaxed, PBE-GGA.

E_tot ... -7.843 eV per atom

a = 5.238 Å, b = 5.238 Å, c = 5.238 Å
α = 60.00°, β = 60.00°, γ = 60.00°
Atoms (fractional coordinates):
Gd: 0.000 0.000 0.000
Zn: 0.750 0.750 0.750
Rh: 0.376 0.376 0.376
Rh: 0.376 0.376 0.873
Rh: 0.376 0.873 0.376
Rh: 0.873 0.376 0.376



Record 4
SnTeOsBr2: relaxed, PBE-GGA.

E_tot ... -3.901 eV per atom

a = 5.077 Å, b = 5.077 Å, c = 5.300 Å
α = 90.00°, β = 90.00°, γ = 90.00°
Atoms (fractional coordinates):
Sn: 0.000 0.000 0.000
Te: 0.500 0.500 0.000
Os: 0.500 0.500 0.500
Br: 0.000 0.500 0.500
Br: 0.500 0.000 0.500